Density functional theory data (GGA-PBE) for a relaxed Co2BiTe2 crystal.

POSCAR file:
```
Co2BiTe2
1.0
8.2799 0.0000 0.0000
0.0000 8.2799 0.0000
0.0000 0.0000 3.2020
Co Bi Te
4 2 4
direct
0.1100 0.3900 0.0000
0.3900 0.8900 0.0000
0.6100 0.1100 0.0000
0.8900 0.6100 0.0000
0.0000 0.0000 0.5000
0.5000 0.5000 0.5000
0.1395 0.6395 0.5000
0.3605 0.1395 0.5000
0.6395 0.8605 0.5000
0.8605 0.3605 0.5000
```

Output
As for the space group: P4/mbm. Its crystal system is tetragonal. The calculation puts the total energy at -4.39 eV per atom.